Compound: NaAcPt4
Source: the Open Quantum Materials Database
Functional: PBE
Structure: optimized geometry

abc: 5.5224 5.5224 5.5224
angles: 60.00 60.00 60.00
Atoms (fractional coordinates):
Na: 0.0000 0.0000 0.0000
Ac: 0.2500 0.2500 0.2500
Pt: 0.1232 0.6256 0.6256
Pt: 0.6256 0.1232 0.6256
Pt: 0.6256 0.6256 0.1232
Pt: 0.6256 0.6256 0.6256

## Properties
Calculated volume ... 19.8 Å³/atom
Raw total energy ... -5.758 eV per atom
Size of the total moment ... 0.01 μB/f.u.
Crystal system ... cubic